(1)
## Nb14InMo (PBE-GGA)

Data for an optimized crystal structure of Nb14InMo.

Its magnetization is 0.0 Bohr magnetons per cell. For the total energy, the calculation gives -9.684 eV per atom. As for the volume: 18.276 Å³ per atom.

Unit cell a=6.634 b=6.634 c=6.644 alpha=90.00 beta=90.00 gamma=90.00
Space group P4/mmm (No. 123)
Unique sites:
Nb  0.000  0.000  0.000
Nb  0.000  0.500  0.000
Nb  0.000  0.500  0.500
Nb  0.242  0.242  0.248
Nb  0.500  0.500  0.000
In  0.500  0.500  0.500
Mo  0.000  0.000  0.500

---

(2)
## MgRuRhO (PBE-GGA)

Data for an optimized crystal structure of MgRuRhO.

Its magnetization is 0.0 Bohr magnetons per cell. For the total energy, the calculation gives -6.320 eV per atom. As for the volume: 13.588 Å³ per atom. As for the energy relative to the elements, uncorrected: -202.6 kJ/mol of formula units.

Unit cell a=2.846 b=2.898 c=13.179 alpha=90.00 beta=90.00 gamma=90.00
Space group Imm2 (No. 44)
Unique sites:
Mg  0.000  0.000  0.000
Ru  0.000  0.000  0.656
Rh  0.000  0.000  0.280
O  0.000  0.500  0.396

---

(3)
## IrRhPb2 (PBE-GGA)

Data for an optimized crystal structure of IrRhPb2.

Its magnetization is 0.0 Bohr magnetons per cell. For the total energy, the calculation gives -5.582 eV per atom. As for the volume: 19.484 Å³ per atom.

Unit cell a=3.183 b=3.499 c=6.998 alpha=90.00 beta=90.00 gamma=90.00
Space group Pmmm (No. 47)
Unique sites:
Ir  0.000  0.000  0.000
Rh  0.000  0.000  0.500
Pb  0.500  0.500  0.251

---

(4)
## TbNdDyIn (PBE-GGA)

Data for an optimized crystal structure of TbNdDyIn.

Its magnetization is 5.7 Bohr magnetons per cell. For the total energy, the calculation gives -4.285 eV per atom. As for the volume: 29.458 Å³ per atom.

Unit cell a=7.782 b=7.782 c=7.782 alpha=90.00 beta=90.00 gamma=90.00
Space group F-43m (No. 216)
Unique sites:
Tb  0.000  0.000  0.000
Nd  0.250  0.250  0.750
Dy  0.000  0.000  0.500
In  0.250  0.250  0.250

---

(5)
## PmHo2TlN (PBE-GGA)

Data for an optimized crystal structure of PmHo2TlN.

Its magnetization is 0.0 Bohr magnetons per cell. For the total energy, the calculation gives -5.825 eV per atom. As for the volume: 23.008 Å³ per atom. As for the energy relative to the elements, uncorrected: -437.0 kJ/mol of formula units.

Unit cell a=4.807 b=4.807 c=4.979 alpha=90.00 beta=90.00 gamma=90.00
Space group P4/mmm (No. 123)
Unique sites:
Pm  0.000  0.000  0.000
Ho  0.000  0.500  0.500
Tl  0.500  0.500  0.000
N  0.000  0.000  0.500

---

(6)
## Pa2Sn5Pd12 (PBE-GGA)

Data for an optimized crystal structure of Pa2Sn5Pd12.

Its magnetization is 0.0 Bohr magnetons per cell. For the total energy, the calculation gives -5.795 eV per atom. As for the volume: 19.891 Å³ per atom.

Unit cell a=10.299 b=8.216 c=8.943 alpha=90.00 beta=92.76 gamma=90.00
Space group C2/m (No. 12)
Unique sites:
Pa  0.000  0.242  0.000
Sn  0.000  0.500  0.500
Sn  0.203  0.000  0.595
Sn  0.242  0.500  0.844
Pd  0.001  0.000  0.779
Pd  0.020  0.500  0.203
Pd  0.127  0.235  0.401
Pd  0.241  0.168  0.864

---

(7)
## NbCdO2 (PBE-GGA)

Data for an optimized crystal structure of NbCdO2.

Its magnetization is 0.0 Bohr magnetons per cell. For the total energy, the calculation gives -6.362 eV per atom. As for the volume: 14.919 Å³ per atom. As for the energy relative to the elements, uncorrected: -438.7 kJ/mol of formula units.

Unit cell a=3.2602 b=3.2602 c=19.4490 alpha=90.00 beta=90.00 gamma=120.00
Space group R-3m (No. 166, hexagonal axes)
Unique sites:
Nb  0.0000  0.0000  0.0000
Cd  0.0000  0.0000  0.5000
O  0.0000  0.0000  0.0995

---

(8)
## La4CuOs (PBE-GGA)

Data for an optimized crystal structure of La4CuOs.

Its magnetization is 0.0 Bohr magnetons per cell. For the total energy, the calculation gives -5.970 eV per atom. As for the volume: 29.654 Å³ per atom.

Unit cell a=6.614 b=7.048 c=8.045 alpha=90.00 beta=108.39 gamma=90.00
Space group P2_1/m (No. 11)
Unique sites:
La  0.008  0.004  0.237
La  0.439  0.250  0.618
La  0.443  0.250  0.103
Cu  0.212  0.750  0.553
Os  0.247  0.750  0.064

---

(9)
## Na3U2NiSe6 (PBE-GGA)

Data for an optimized crystal structure of Na3U2NiSe6.

Its magnetization is 6.0 Bohr magnetons per cell. For the total energy, the calculation gives -5.416 eV per atom. As for the volume: 24.562 Å³ per atom. As for the energy relative to the elements, uncorrected: -1135.1 kJ/mol of formula units.

Unit cell a=6.958 b=12.064 c=7.398 alpha=90.00 beta=108.31 gamma=90.00
Space group C2/m (No. 12)
Unique sites:
Na  0.000  0.000  0.000
Na  0.000  0.332  0.000
U  0.000  0.166  0.500
Ni  0.000  0.500  0.500
Se  0.235  0.340  0.723
Se  0.246  0.500  0.277

---

(10)
## Li2Pr3Tl3 (PBE-GGA)

Data for an optimized crystal structure of Li2Pr3Tl3.

Its magnetization is 0.0 Bohr magnetons per cell. For the total energy, the calculation gives -3.451 eV per atom. As for the volume: 26.043 Å³ per atom.

Unit cell a=18.155 b=4.726 c=5.053 alpha=90.00 beta=106.04 gamma=90.00
Space group C2/m (No. 12)
Unique sites:
Li  0.242  0.000  0.242
Pr  0.000  0.000  0.000
Pr  0.142  0.000  0.642
Tl  0.000  0.500  0.500
Tl  0.153  0.500  0.153

---

(11)
## Pr3Zn4Rh2 (PBE-GGA)

Data for an optimized crystal structure of Pr3Zn4Rh2.

Its magnetization is 0.0 Bohr magnetons per cell. For the total energy, the calculation gives -4.258 eV per atom. As for the volume: 21.622 Å³ per atom.

Unit cell a=10.136 b=4.659 c=8.526 alpha=90.00 beta=104.84 gamma=90.00
Space group C2/m (No. 12)
Unique sites:
Pr  0.000  0.000  0.000
Pr  0.129  0.500  0.694
Zn  0.090  0.000  0.406
Zn  0.220  0.500  0.078
Rh  0.180  0.500  0.362

---

(12)
## GaPtSCl2 (PBE-GGA)

Data for an optimized crystal structure of GaPtSCl2.

Its magnetization is 0.6 Bohr magnetons per cell. For the total energy, the calculation gives -2.984 eV per atom. As for the volume: 21.286 Å³ per atom. As for the energy relative to the elements, uncorrected: 189.7 kJ/mol of formula units.

Unit cell a=4.579 b=4.579 c=5.075 alpha=90.00 beta=90.00 gamma=90.00
Space group P4/mmm (No. 123)
Unique sites:
Ga  0.000  0.000  0.000
Pt  0.500  0.500  0.500
S  0.000  0.000  0.500
Cl  0.000  0.500  0.000